# 1
DFT (PBE) results for crystalline Mn3AgB at its relaxed geometry.

Cell lengths 4.854, 4.854, 4.854 Å; angles 90.00, 90.00, 90.00 degrees
Last column: magnetic moment on the atom in μB.
Element x y z (fractional)
B1 0.500 0.500 0.500  -0.21
Mn1 0.000 0.500 0.000  4.04
Mn2 0.000 0.000 0.500  4.23
Mn3 0.500 0.000 0.000  3.99
Ag1 0.000 0.000 0.000  0.10

Properties
- Electronic total energy: -5.41 eV/atom
- ρ: 4.12 Mg/m³
- Space group: Pm-3m
- ΔH_f (0 K): 1.993 eV/atom
- Crystal system: cubic
- Calculated volume: 114.4 Å³/cell

***

# 2
DFT (PBE) results for crystalline Tm3CoRu at its relaxed geometry.

Cell lengths 4.211, 5.941, 8.542 Å; angles 90.00, 90.00, 90.00 degrees
Element x y z (fractional)
Tm1 0.250 0.747 0.549
Tm2 0.250 0.248 0.750
Tm3 0.250 0.747 0.951
Tm4 0.750 0.253 0.451
Tm5 0.750 0.253 0.049
Tm6 0.750 0.752 0.250
Co1 0.250 0.033 0.250
Co2 0.750 0.967 0.750
Ru1 0.750 0.557 0.750
Ru2 0.250 0.443 0.250

Properties
- Electronic total energy: -6.27 eV/atom
- ρ: 10.36 Mg/m³
- Space group: Pmmn
- ΔH_f (0 K): -0.307 eV/atom
- Crystal system: orthorhombic
- Calculated volume: 213.7 Å³/cell

***

# 3
DFT (PBE) results for crystalline Tm3In at its relaxed geometry.

Cell lengths 4.779, 4.779, 4.779 Å; angles 90.00, 90.00, 90.00 degrees
Element x y z (fractional)
Tm1 0.500 0.500 0.000
Tm2 0.500 0.000 0.500
Tm3 0.000 0.500 0.500
In1 0.000 0.000 0.000

Properties
- Electronic total energy: -4.29 eV/atom
- ρ: 9.46 Mg/m³
- Space group: Pm-3m
- ΔH_f (0 K): -0.256 eV/atom
- Crystal system: cubic
- Calculated volume: 109.1 Å³/cell